This record from the Alexandria database describes a relaxed structure of VCuO2. The functional is PBE+U.

Cell lengths 5.239, 3.801, 5.505 Å; angles 108.56, 88.01, 109.69 degrees
Each line ends with the local moment (μB).
Sites, in units of the cell vectors:
O  0.101  0.878  0.828  -0.04
O  0.679  0.127  0.708  -0.10
O  0.231  0.315  0.557  -0.04
O  0.338  0.649  0.172  -0.10
V  0.350  0.872  0.554  1.13
V  0.073  0.401  0.911  1.25
Cu  0.880  0.192  0.345  -0.06
Cu  0.645  0.459  0.128  -0.06

Results
The value obtained for the calculated total energy is -6.497 eV per atom. As for the magnetic moment: 1.0 μB/f.u.